[1]
Below is a relaxed HPtF crystal, with properties calculated at the GGA-PBE level.

The structure in POSCAR format:
```
HPtF
1.0
2.775 -0.033 -0.229
-0.011 2.723 -0.526
-1.708 -2.716 11.272
H Pt F
2 2 2
Direct
0.603 0.914 0.381 H
0.397 0.086 0.619 H
0.998 0.271 0.727 Pt
0.002 0.729 0.273 Pt
0.637 0.529 0.876 F
0.363 0.471 0.124 F
```

Results
Its symmetry is P-1. Its crystal system is triclinic.



[2]
Below is a relaxed HPtF crystal, with properties calculated at the GGA-PBE level.

The structure in POSCAR format:
```
HPtF
1.0
-0.719 -1.783 3.201
4.919 -3.792 -5.990
2.345 1.390 0.106
H Pt F
2 2 2
Direct
0.857 0.447 0.433 H
0.738 0.745 0.554 H
0.815 0.109 0.155 Pt
0.526 0.337 0.842 Pt
0.042 0.913 0.429 F
0.506 0.631 0.664 F
```

Results
Its symmetry is P1. Its crystal system is triclinic.



[3]
Below is a relaxed HPtF crystal, with properties calculated at the GGA-PBE level.

The structure in POSCAR format:
```
HPtF
1.0
-1.138 2.962 1.229
-2.842 -0.784 -5.564
-2.435 -3.246 0.870
H Pt F
2 2 2
Direct
0.215 0.403 0.043 H
0.873 0.573 0.185 H
0.974 0.422 0.543 Pt
0.218 0.179 0.281 Pt
0.533 0.985 0.108 F
0.671 0.621 0.734 F
```

Results
Its symmetry is P1. Its crystal system is triclinic.



[4]
Below is a relaxed HPtF crystal, with properties calculated at the GGA-PBE level.

The structure in POSCAR format:
```
HPtF
1.0
9.215 0.000 0.000
0.000 2.744 0.000
0.000 0.000 5.775
H Pt F
4 4 4
Direct
0.972 0.250 0.734 H
0.528 0.750 0.234 H
0.028 0.750 0.266 H
0.472 0.250 0.766 H
0.430 0.250 0.344 Pt
0.070 0.750 0.844 Pt
0.570 0.750 0.656 Pt
0.930 0.250 0.156 Pt
0.805 0.250 0.439 F
0.695 0.750 0.939 F
0.195 0.750 0.561 F
0.305 0.250 0.061 F
```

Results
Its symmetry is Pnma. Its crystal system is orthorhombic.



[5]
Below is a relaxed HPtF crystal, with properties calculated at the GGA-PBE level.

The structure in POSCAR format:
```
HPtF
1.0
4.577 0.000 0.000
0.000 3.414 0.000
0.000 0.000 9.858
H Pt F
4 4 4
Direct
0.953 0.250 0.336 H
0.547 0.750 0.836 H
0.047 0.750 0.664 H
0.453 0.250 0.164 H
0.172 0.250 0.453 Pt
0.328 0.750 0.953 Pt
0.828 0.750 0.547 Pt
0.672 0.250 0.047 Pt
0.040 0.250 0.886 F
0.460 0.750 0.386 F
0.960 0.750 0.114 F
0.540 0.250 0.614 F
```

Results
Its symmetry is Pnma. Its crystal system is orthorhombic.



[6]
Below is a relaxed HPtF crystal, with properties calculated at the GGA-PBE level.

The structure in POSCAR format:
```
HPtF
1.0
-2.205 1.289 -0.835
-2.310 -0.416 1.294
1.058 9.852 8.255
H Pt F
2 2 2
Direct
0.271 0.881 0.576 H
0.014 0.599 0.816 H
0.462 0.201 0.105 Pt
0.192 0.722 0.294 Pt
0.220 0.808 0.816 F
0.066 0.672 0.576 F
```

Results
Its symmetry is P1. Its crystal system is triclinic.



[7]
Below is a relaxed HPtF3 crystal, with properties calculated at the GGA-PBE level.

The structure in POSCAR format:
```
HPtF3
1.0
4.133 0.000 0.000
0.000 4.133 0.000
0.000 0.000 4.133
H Pt F
1 1 3
Direct
0.500 0.500 0.500 H
0.000 0.000 0.000 Pt
0.000 0.500 0.000 F
0.000 0.000 0.500 F
0.500 0.000 0.000 F
```

Results
Its symmetry is Pm-3m. Its crystal system is cubic.



[8]
Below is a relaxed H3PtF8 crystal, with properties calculated at the GGA-PBE level.

The structure in POSCAR format:
```
H3PtF8
1.0
10.170 0.000 0.000
0.000 5.931 -3.613
0.000 -0.679 5.990
H Pt F
6 2 16
Direct
0.645 0.896 0.072 H
0.753 0.437 0.709 H
0.657 0.169 0.078 H
0.145 0.104 0.928 H
0.253 0.563 0.291 H
0.157 0.831 0.922 H
0.119 0.360 0.701 Pt
0.619 0.640 0.299 Pt
0.035 0.050 0.492 F
0.978 0.509 0.963 F
0.040 0.437 0.478 F
0.535 0.950 0.508 F
0.478 0.491 0.037 F
0.540 0.563 0.522 F
0.710 0.313 0.073 F
0.767 0.776 0.542 F
0.702 0.716 0.057 F
0.210 0.687 0.927 F
0.267 0.224 0.458 F
0.202 0.284 0.943 F
0.771 0.285 0.534 F
0.271 0.715 0.466 F
0.095 0.978 0.935 F
0.595 0.022 0.065 F
```

Results
Its symmetry is P2_1. Its crystal system is monoclinic.



[9]
Below is a relaxed H2PtF crystal, with properties calculated at the GGA-PBE level.

The structure in POSCAR format:
```
H2PtF
1.0
-0.930 -3.755 -2.125
-1.728 -1.668 3.704
-4.710 -1.333 -0.167
H Pt F
4 2 2
Direct
0.665 0.125 0.250 H
0.085 0.625 0.250 H
0.375 0.335 0.750 H
0.875 0.915 0.750 H
0.000 0.000 0.000 Pt
0.750 0.250 0.500 Pt
0.500 0.500 0.000 F
0.250 0.750 0.500 F
```

Results
Its symmetry is I-42d. Its crystal system is tetragonal.



[10]
Below is a relaxed H2PtF crystal, with properties calculated at the GGA-PBE level.

The structure in POSCAR format:
```
H2PtF
1.0
3.032 0.445 1.828
0.233 -1.140 3.373
2.035 -2.821 0.793
H Pt F
2 1 1
Direct
0.250 0.250 0.250 H
0.750 0.750 0.750 H
0.500 0.500 0.500 Pt
0.000 0.000 0.000 F
```

Results
Its symmetry is Fm-3m. Its crystal system is cubic.



[11]
Below is a relaxed HPtF3 crystal, with properties calculated at the GGA-PBE level.

The structure in POSCAR format:
```
HPtF3
1.0
3.586 0.000 0.000
0.000 3.586 0.000
0.000 0.000 3.586
H Pt F
1 1 3
Direct
0.000 0.000 0.000 H
0.500 0.500 0.500 Pt
0.000 0.500 0.000 F
0.000 0.000 0.500 F
0.500 0.000 0.000 F
```

Results
Its symmetry is Pm-3m. Its crystal system is cubic.



[12]
Below is a relaxed HRu2PtF crystal, with properties calculated at the GGA-PBE level.

The structure in POSCAR format:
```
HRu2PtF
1.0
-1.150 2.357 2.992
-3.622 -1.643 -0.099
1.441 -3.371 3.210
Ru H Pt F
2 1 1 1
Direct
0.000 0.500 0.000 Ru
0.500 0.000 0.000 Ru
0.500 0.500 0.500 H
0.000 0.000 0.500 Pt
0.000 0.000 0.000 F
```

Results
Its symmetry is P4/mmm. Its crystal system is tetragonal.



| no. | magnetic moment (μB/f.u.) | E_tot (Ry/atom) |
| --- | --- | --- |
| 1 | 0.4 | -0.2962 |
| 2 | 0.0 | -0.3222 |
| 3 | 0.0 | -0.3102 |
| 4 | 0.0 | -0.3039 |
| 5 | 0.0 | -0.3172 |
| 6 | 0.0 | -0.3371 |
| 7 | 0.9 | -0.2496 |
| 8 | 1.0 | -0.2901 |
| 9 | 0.0 | -0.2755 |
| 10 | 0.0 | -0.2333 |
| 11 | 2.0 | -0.2317 |
| 12 | 2.9 | -0.3205 |